{
  "formula": "AcYAs2Pd2",
  "functional": "GGA-PBE",
  "state": "relaxed",
  "n_ef_per_ev_fu": 0.76,
  "sg": "P-3m1, No. 164",
  "e_tot_ev_per_cell": -37.400,
  "formation_energy_ev_per_atom": -1.1905,
  "m_tot_mub_per_fu": 0.00,
  "cell": [[4.420, 0.000, 0.000], [-2.210, 3.827, 0.000], [0.000, 0.000, 7.908]],
  "species": ["Ac", "Y", "As", "As", "Pd", "Pd"],
  "frac_coords": [[0.000, 0.000, 0.000], [0.000, 0.000, 0.500], [0.333, 0.667, 0.267], [0.667, 0.333, 0.733], [0.333, 0.667, 0.723], [0.667, 0.333, 0.277]]
}